Crystalline K2ScBi at its relaxed geometry, computed with PBE-GGA.

Unit cell a=4.628 b=4.628 c=13.789 alpha=80.34 beta=80.34 gamma=90.00
Last column: magnetic moment on the atom in μB.
Fractional coordinates of all 8 atoms:
K1 0.375 0.361 0.750  0.03
K2 0.875 0.889 0.750  0.03
K3 0.111 0.625 0.250  0.02
K4 0.639 0.125 0.250  0.02
Sc1 0.250 0.750 0.500  0.54
Sc2 0.500 0.500 0.000  0.55
Bi1 0.750 0.250 0.500  -0.04
Bi2 0.000 0.000 0.000  -0.04

Results
Magnetic moment: 2.44 μB/cell
Symmetry: I-42d
Final energy: -2.953 eV per atom
Calculated formation energy: 0.1486 eV/atom
D(E_F): 7.7 states/eV per cell